1.
# CsUTe4Au GGA-PBE optimized geometry
data_CsUTe4Au
_cell_length_a 7.7315
_cell_length_b 6.3110
_cell_length_c 10.7246
_cell_angle_alpha 90.00
_cell_angle_beta 108.97
_cell_angle_gamma 90.00
_symmetry_space_group_name_H-M 'P 1 21/m 1'
_symmetry_Int_Tables_number 11
loop_
_symmetry_equiv_pos_as_xyz
'x,y,z'
'-x,-y,-z'
'-x,y+1/2,-z'
'x,-y+1/2,z'
loop_
_atom_site_label
_atom_site_type_symbol
_atom_site_fract_x
_atom_site_fract_y
_atom_site_fract_z
Cs1 Cs 0.2120 0.2500 0.0538
U1 U 0.2729 0.2500 0.5534
Te1 Te 0.0252 0.5079 0.6876
Te2 Te 0.4329 0.7500 0.5892
Te3 Te 0.4821 0.7500 0.1645
Au1 Au 0.2770 0.7500 0.3209
# size of the total moment	1.2	μB/f.u.
# DOS at the Fermi energy	12.76	states/eV/cell



2.
# SrGdTe2 GGA-PBE optimized geometry
data_SrGdTe2
_cell_length_a 4.5355
_cell_length_b 4.5355
_cell_length_c 22.7162
_cell_angle_alpha 90.00
_cell_angle_beta 90.00
_cell_angle_gamma 120.00
_symmetry_space_group_name_H-M 'R -3 m'
_symmetry_Int_Tables_number 166
_symmetry_space_group_name_Hall '-R 3 2"'
loop_
_atom_site_label
_atom_site_type_symbol
_atom_site_fract_x
_atom_site_fract_y
_atom_site_fract_z
Sr1 Sr 0.0000 0.0000 0.0000
Gd1 Gd 0.0000 0.0000 0.5000
Te1 Te 0.0000 0.0000 0.2449
# size of the total moment	6.9	μB/f.u.
# DOS at the Fermi energy	15.21	states/eV/cell



Record order is preserved below.
Uncorrected energy: -4.570, -7.055 eV per atom